Density functional theory data (PBE+U) for crystalline MnTlNF2 at its relaxed geometry.

```
data_MnTlNF2
_cell_length_a 4.321
_cell_length_b 4.321
_cell_length_c 3.975
_cell_angle_alpha 90.00
_cell_angle_beta 90.00
_cell_angle_gamma 90.00
_space_group_name_H-M_alt 'P 1'
_space_group_IT_number 1
loop_
_space_group_symop_operation_xyz
'x,y,z'
loop_
_atom_site_label
_atom_site_type_symbol
_atom_site_fract_x
_atom_site_fract_y
_atom_site_fract_z
Mn1 Mn 0.000 0.000 0.000
Tl1 Tl 0.500 0.500 0.500
N1 N 0.000 0.000 0.500
F1 F 0.000 0.500 0.000
F2 F 0.500 0.000 0.000
```

## Properties
* spin magnetization: 3.0 μB/cell
* energy: -5.39 eV per atom
* ρ: 6.97 g/cm³